Entry 1:
Material: CsCr2MoO8
Method: DFT, PBE+U
State: optimized geometry

SG ... C2/m (12)
DOS at the Fermi energy ... 0.23 states/eV/f.u.

a = 5.420 Å, b = 5.420 Å, c = 8.724 Å
α = 94.35°, β = 94.35°, γ = 62.90°
Positions (direct):
Cs (0.000, 0.000, 0.000)
Cr (0.364, 0.364, 0.701)
Cr (0.636, 0.636, 0.299)
Mo (0.000, 0.000, 0.500)
O (0.198, 0.198, 0.578)
O (0.208, 0.713, 0.661)
O (0.287, 0.792, 0.339)
O (0.322, 0.322, 0.879)
O (0.678, 0.678, 0.121)
O (0.713, 0.208, 0.661)
O (0.792, 0.287, 0.339)
O (0.802, 0.802, 0.422)

Entry 2:
Material: La2ZrCoF
Method: DFT, PBE+U
State: optimized geometry

SG ... P4/mmm (123)
DOS at the Fermi energy ... 7.27 states/eV/f.u.

a = 5.624 Å, b = 5.624 Å, c = 4.580 Å
α = 90.00°, β = 90.00°, γ = 90.00°
Positions (direct):
La (0.000, 0.500, 0.000)
La (0.500, 0.000, 0.000)
Zr (0.000, 0.000, 0.500)
Co (0.000, 0.000, 0.000)
F (0.500, 0.500, 0.500)

The evaluated uncorrected energy for the records listed, in turn: -6.719, -5.189 eV/atom.
The evaluated calculated density for the records listed, in turn: 3.37, 5.12 g/cm3.